1.
Computed, not measured: a relaxed Tm2Si2Au3 crystal at the PBE-GGA level of DFT. Values from VASP.

Output
crystal system = monoclinic

Cell and atoms, written as Quantum ESPRESSO input:
```
&SYSTEM
  ibrav = 0, nat = 7, ntyp = 3
/
ATOMIC_SPECIES
Tm 168.93 Tm.upf
Si 28.09 Si.upf
Au 196.97 Au.upf
CELL_PARAMETERS angstrom
-2.991 2.126 1.722
-2.017 -4.622 -2.567
1.237 -2.771 5.570
ATOMIC_POSITIONS crystal
Tm 0.632 0.264 0.328
Tm 0.368 0.736 0.672
Si 0.082 0.164 0.644
Si 0.918 0.836 0.356
Au 0.308 0.617 0.154
Au 0.000 0.000 0.000
Au 0.692 0.383 0.846
```

***

2.
Computed, not measured: a relaxed Tm5Si2Au2 crystal at the PBE-GGA level of DFT. Values from VASP.

Output
crystal system = orthorhombic

Cell and atoms, written as Quantum ESPRESSO input:
```
&SYSTEM
  ibrav = 0, nat = 18, ntyp = 3
/
ATOMIC_SPECIES
Tm 168.93 Tm.upf
Si 28.09 Si.upf
Au 196.97 Au.upf
CELL_PARAMETERS angstrom
6.943 0.000 2.520
0.000 7.369 0.000
0.862 0.000 8.449
ATOMIC_POSITIONS crystal
Tm 0.000 0.000 0.000
Tm 0.500 0.500 0.000
Tm 0.456 0.172 0.732
Tm 0.812 0.828 0.732
Tm 0.312 0.672 0.732
Tm 0.956 0.328 0.732
Tm 0.544 0.828 0.268
Tm 0.188 0.172 0.268
Tm 0.688 0.328 0.268
Tm 0.044 0.672 0.268
Si 0.120 0.378 0.000
Si 0.880 0.622 0.000
Si 0.380 0.878 0.000
Si 0.620 0.122 0.000
Au 0.209 0.000 0.583
Au 0.709 0.500 0.583
Au 0.791 0.000 0.417
Au 0.291 0.500 0.417
```

***

3.
Computed, not measured: a relaxed Tm2Si2Au crystal at the PBE-GGA level of DFT. Values from VASP.

Output
crystal system = tetragonal

Cell and atoms, written as Quantum ESPRESSO input:
```
&SYSTEM
  ibrav = 0, nat = 20, ntyp = 3
/
ATOMIC_SPECIES
Tm 168.93 Tm.upf
Si 28.09 Si.upf
Au 196.97 Au.upf
CELL_PARAMETERS angstrom
-4.565 -0.107 -5.071
4.928 -1.707 -4.401
-1.489 -8.199 1.513
ATOMIC_POSITIONS crystal
Tm 0.675 0.825 0.500
Tm 0.325 0.175 0.500
Tm 0.825 0.325 0.000
Tm 0.175 0.675 0.000
Tm 0.825 0.325 0.500
Tm 0.175 0.675 0.500
Tm 0.325 0.175 0.000
Tm 0.675 0.825 0.000
Si 0.376 0.876 0.250
Si 0.624 0.124 0.250
Si 0.124 0.376 0.750
Si 0.876 0.624 0.750
Si 0.876 0.624 0.250
Si 0.124 0.376 0.250
Si 0.376 0.876 0.750
Si 0.624 0.124 0.750
Au 0.500 0.500 0.250
Au 0.000 0.000 0.750
Au 0.500 0.500 0.750
Au 0.000 0.000 0.250
```

***

Respective uncorrected energy values: -34.31, -93.58, -108.12 eV/cell.